Record 1
# LaMgSb2, relaxed, DFT PBE
# Magnetic moment in Bohr magnetons per cell: 0.0
# Volume in Å³/cell: 110.4
# Raw formation energy in eV/atom: -0.583
data_LaMgSb2
_symmetry_space_group_name_H-M 'P m m m'
_symmetry_Int_Tables_number 47
_symmetry_space_group_name_Hall '-P 2 2'
_cell_length_a 3.9902
_cell_length_b 4.1281
_cell_length_c 6.7027
_cell_angle_alpha 90.00
_cell_angle_beta 90.00
_cell_angle_gamma 90.00
loop_
_atom_site_label
_atom_site_type_symbol
_atom_site_fract_x
_atom_site_fract_y
_atom_site_fract_z
La1 La 0.0000 0.0000 0.0000
Mg1 Mg 0.0000 0.0000 0.5000
Sb1 Sb 0.5000 0.5000 0.2688

Record 2
# La4MgSb, relaxed, DFT PBE
# Magnetic moment in Bohr magnetons per cell: 0.0
# Volume in Å³/cell: 784.2
# Raw formation energy in eV/atom: 0.051
data_La4MgSb
_symmetry_space_group_name_H-M 'F -4 3 m'
_symmetry_Int_Tables_number 216
_symmetry_space_group_name_Hall 'F -4 2 3'
_cell_length_a 9.2216
_cell_length_b 9.2216
_cell_length_c 9.2216
_cell_angle_alpha 90.00
_cell_angle_beta 90.00
_cell_angle_gamma 90.00
loop_
_atom_site_label
_atom_site_type_symbol
_atom_site_fract_x
_atom_site_fract_y
_atom_site_fract_z
La1 La 0.1240 0.1240 0.3760
Mg1 Mg 0.0000 0.0000 0.0000
Sb1 Sb 0.2500 0.2500 0.7500

Record 3
# LaMg2Sb2, relaxed, DFT PBE
# Magnetic moment in Bohr magnetons per cell: 0.0
# Volume in Å³/cell: 541.6
# Raw formation energy in eV/atom: -0.634
data_LaMg2Sb2
_symmetry_space_group_name_H-M 'C m c m'
_symmetry_Int_Tables_number 63
_symmetry_space_group_name_Hall '-C 2c 2'
_cell_length_a 4.4363
_cell_length_b 27.4647
_cell_length_c 4.4451
_cell_angle_alpha 90.00
_cell_angle_beta 90.00
_cell_angle_gamma 90.00
loop_
_atom_site_label
_atom_site_type_symbol
_atom_site_fract_x
_atom_site_fract_y
_atom_site_fract_z
La1 La 0.0000 0.1580 0.2500
Mg1 Mg 0.0000 0.0402 0.7500
Mg2 Mg 0.0000 0.4573 0.7500
Sb1 Sb 0.0000 0.2499 0.7500
Sb2 Sb 0.0000 0.3833 0.2500

Record 4
# LaMgSb2, relaxed, DFT PBE
# Magnetic moment in Bohr magnetons per cell: 0.0
# Volume in Å³/cell: 222.2
# Raw formation energy in eV/atom: -0.649
data_LaMgSb2
_symmetry_space_group_name_H-M 'I -4 m 2'
_symmetry_Int_Tables_number 119
_symmetry_space_group_name_Hall 'I -4 -2'
_cell_length_a 4.5001
_cell_length_b 4.5001
_cell_length_c 10.9716
_cell_angle_alpha 90.00
_cell_angle_beta 90.00
_cell_angle_gamma 90.00
loop_
_atom_site_label
_atom_site_type_symbol
_atom_site_fract_x
_atom_site_fract_y
_atom_site_fract_z
La1 La 0.0000 0.0000 0.0000
Mg1 Mg 0.0000 0.5000 0.2500
Sb1 Sb 0.0000 0.0000 0.5000
Sb2 Sb 0.0000 0.5000 0.7500

Record 5
# LaMgSb2, relaxed, DFT PBE
# Magnetic moment in Bohr magnetons per cell: 0.1
# Volume in Å³/cell: 116.6
# Raw formation energy in eV/atom: -0.573
data_LaMgSb2
_symmetry_space_group_name_H-M 'P 1 2/m 1'
_symmetry_Int_Tables_number 10
_symmetry_space_group_name_Hall '-P 2y'
_cell_length_a 4.2803
_cell_length_b 3.4015
_cell_length_c 8.1702
_cell_angle_alpha 90.00
_cell_angle_beta 101.48
_cell_angle_gamma 90.00
loop_
_atom_site_label
_atom_site_type_symbol
_atom_site_fract_x
_atom_site_fract_y
_atom_site_fract_z
La1 La 0.0000 0.0000 0.0000
Mg1 Mg 0.0000 0.0000 0.5000
Sb1 Sb 0.4150 0.5000 0.7444

Record 6
# LaMg14Sb, relaxed, DFT PBE
# Magnetic moment in Bohr magnetons per cell: 0.0
# Volume in Å³/cell: 390.1
# Raw formation energy in eV/atom: -0.028
# Energy above the lowest structure with this stoichiometry in eV/atom: 0.039
data_LaMg14Sb
_symmetry_space_group_name_H-M 'P -6 m 2'
_symmetry_Int_Tables_number 187
_symmetry_space_group_name_Hall 'P -6 2'
_cell_length_a 6.5769
_cell_length_b 6.5769
_cell_length_c 10.4137
_cell_angle_alpha 90.00
_cell_angle_beta 90.00
_cell_angle_gamma 120.00
loop_
_atom_site_label
_atom_site_type_symbol
_atom_site_fract_x
_atom_site_fract_y
_atom_site_fract_z
La1 La 0.0000 0.0000 0.0000
Mg1 Mg 0.0153 0.5077 0.0000
Mg2 Mg 0.1685 0.3369 0.2580
Mg3 Mg 0.5047 0.0094 0.5000
Mg4 Mg 0.6667 0.3333 0.2381
Sb1 Sb 0.0000 0.0000 0.5000

Record 7
# LaMg3Sb, relaxed, DFT PBE
# Magnetic moment in Bohr magnetons per cell: 0.0
# Volume in Å³/cell: 206.2
# Raw formation energy in eV/atom: 1.127
# Energy above the lowest structure with this stoichiometry in eV/atom: 0.906
data_LaMg3Sb
_symmetry_space_group_name_H-M 'P m -3 m'
_symmetry_Int_Tables_number 221
_symmetry_space_group_name_Hall '-P 4 2 3'
_cell_length_a 5.9080
_cell_length_b 5.9080
_cell_length_c 5.9080
_cell_angle_alpha 90.00
_cell_angle_beta 90.00
_cell_angle_gamma 90.00
loop_
_atom_site_label
_atom_site_type_symbol
_atom_site_fract_x
_atom_site_fract_y
_atom_site_fract_z
La1 La 0.0000 0.0000 0.0000
Mg1 Mg 0.0000 0.0000 0.5000
Sb1 Sb 0.5000 0.5000 0.5000

Record 8
# LaMg3Sb3, relaxed, DFT PBE
# Magnetic moment in Bohr magnetons per cell: 0.0
# Volume in Å³/cell: 1320.7
# Raw formation energy in eV/atom: -0.643
data_LaMg3Sb3
_symmetry_space_group_name_H-M 'R -3'
_symmetry_Int_Tables_number 148
_symmetry_space_group_name_Hall '-R 3'
_cell_length_a 8.2009
_cell_length_b 8.2009
_cell_length_c 22.6750
_cell_angle_alpha 90.00
_cell_angle_beta 90.00
_cell_angle_gamma 120.00
loop_
_atom_site_label
_atom_site_type_symbol
_atom_site_fract_x
_atom_site_fract_y
_atom_site_fract_z
La1 La 0.0000 0.0000 0.1661
Mg1 Mg 0.0038 0.3282 0.6219
Sb1 Sb 0.0025 0.3401 0.4185

Record 9
# La2MgSb4, relaxed, DFT PBE
# Magnetic moment in Bohr magnetons per cell: 0.0
# Volume in Å³/cell: 457.9
# Raw formation energy in eV/atom: -0.410
# Energy above the lowest structure with this stoichiometry in eV/atom: 0.416
data_La2MgSb4
_symmetry_space_group_name_H-M 'I 4/m m m'
_symmetry_Int_Tables_number 139
_symmetry_space_group_name_Hall '-I 4 2'
_cell_length_a 5.2953
_cell_length_b 5.2953
_cell_length_c 16.3285
_cell_angle_alpha 90.00
_cell_angle_beta 90.00
_cell_angle_gamma 90.00
loop_
_atom_site_label
_atom_site_type_symbol
_atom_site_fract_x
_atom_site_fract_y
_atom_site_fract_z
La1 La 0.0000 0.0000 0.1282
Mg1 Mg 0.0000 0.0000 0.5000
Sb1 Sb 0.0000 0.0000 0.3223
Sb2 Sb 0.0000 0.5000 0.0000

Record 10
# LaMgSb2, relaxed, DFT PBE
# Magnetic moment in Bohr magnetons per cell: 0.0
# Volume in Å³/cell: 363.5
# Raw formation energy in eV/atom: -0.624
data_LaMgSb2
_symmetry_space_group_name_H-M 'R -3 m'
_symmetry_Int_Tables_number 166
_symmetry_space_group_name_Hall '-R 3 2"'
_cell_length_a 4.7134
_cell_length_b 4.7134
_cell_length_c 18.8933
_cell_angle_alpha 90.00
_cell_angle_beta 90.00
_cell_angle_gamma 120.00
loop_
_atom_site_label
_atom_site_type_symbol
_atom_site_fract_x
_atom_site_fract_y
_atom_site_fract_z
La1 La 0.0000 0.0000 0.0000
Mg1 Mg 0.0000 0.0000 0.5000
Sb1 Sb 0.0000 0.0000 0.2407

Record 11
# LaMgSb2, relaxed, DFT PBE
# Magnetic moment in Bohr magnetons per cell: 0.0
# Volume in Å³/cell: 219.8
# Raw formation energy in eV/atom: -0.581
data_LaMgSb2
_symmetry_space_group_name_H-M 'I 4/m m m'
_symmetry_Int_Tables_number 139
_symmetry_space_group_name_Hall '-I 4 2'
_cell_length_a 4.8213
_cell_length_b 4.8213
_cell_length_c 9.4540
_cell_angle_alpha 90.00
_cell_angle_beta 90.00
_cell_angle_gamma 90.00
loop_
_atom_site_label
_atom_site_type_symbol
_atom_site_fract_x
_atom_site_fract_y
_atom_site_fract_z
La1 La 0.0000 0.0000 0.0000
Mg1 Mg 0.0000 0.0000 0.5000
Sb1 Sb 0.0000 0.5000 0.2500

Record 12
# LaMg3Sb, relaxed, DFT PBE
# Magnetic moment in Bohr magnetons per cell: 0.0
# Volume in Å³/cell: 161.3
# Raw formation energy in eV/atom: 0.221
# Energy above the lowest structure with this stoichiometry in eV/atom: 0.000
data_LaMg3Sb
_symmetry_space_group_name_H-M 'P m -3 m'
_symmetry_Int_Tables_number 221
_symmetry_space_group_name_Hall '-P 4 2 3'
_cell_length_a 5.4440
_cell_length_b 5.4440
_cell_length_c 5.4440
_cell_angle_alpha 90.00
_cell_angle_beta 90.00
_cell_angle_gamma 90.00
loop_
_atom_site_label
_atom_site_type_symbol
_atom_site_fract_x
_atom_site_fract_y
_atom_site_fract_z
La1 La 0.0000 0.0000 0.0000
Mg1 Mg 0.0000 0.5000 0.5000
Sb1 Sb 0.5000 0.5000 0.5000